Record 1
DFT (PBE-GGA) results for a relaxed RbScGe crystal.

The space group is P6_3/mmc (No. 194) and the conventional cell measures 6.7289, 6.7289 and 10.0342 Å, with angles of 90.00, 90.00 and 120.00 degrees. The distinct sites, in fractional coordinates, are Rb at (0.3333, 0.6667, 0.2500), Sc at (0.0000, 0.0000, 0.2500) and Ge at (0.0000, 0.0000, 0.0000).

The calculation puts the formation enthalpy at 0 K at 0.82 eV per atom. The value obtained for the energy above the most stable polymorph in this dataset is 1184 meV per atom.

=====

Record 2
DFT (PBE-GGA) results for a relaxed KZnPb2 crystal.

The space group is R-3m (No. 166, hexagonal axes) and the conventional cell measures 3.8629, 3.8629 and 29.6026 Å, with angles of 90.00, 90.00 and 120.00 degrees. The distinct sites, in fractional coordinates, are K at (0.0000, 0.0000, 0.0000), Zn at (0.0000, 0.0000, 0.5000) and Pb at (0.0000, 0.0000, 0.2294).

The calculation puts the formation enthalpy at 0 K at 0.08 eV per atom. The value obtained for the energy above the most stable polymorph in this dataset is 118 meV per atom.

=====

Record 3
DFT (PBE-GGA) results for a relaxed ZnAg8Se6 crystal.

The space group is Pmn2_1 (No. 31) and the conventional cell measures 8.097, 7.878 and 10.720 Å, with angles of 90.00, 90.00 and 90.00 degrees. The distinct sites, in fractional coordinates, are Zn at (0.000, 0.235, 0.000), Ag at (0.000, 0.800, 0.964), Ag at (0.000, 0.872, 0.520), Ag at (0.196, 0.970, 0.756), Ag at (0.198, 0.395, 0.362), Ag at (0.242, 0.333, 0.637), Se at (0.000, 0.004, 0.150), Se at (0.000, 0.210, 0.512), Se at (0.000, 0.472, 0.154), Se at (0.000, 0.694, 0.737) and Se at (0.247, 0.740, 0.385).

Its uncorrected formation energy is -0.098 eV per atom.

=====

Record 4
DFT (PBE-GGA) results for a relaxed CeGdTlZn crystal.

The space group is F-43m (No. 216) and the conventional cell measures 7.526, 7.526 and 7.526 Å, with angles of 90.00, 90.00 and 90.00 degrees. The distinct sites, in fractional coordinates, are Ce at (0.000, 0.000, 0.000), Gd at (0.000, 0.000, 0.500), Tl at (0.250, 0.250, 0.750) and Zn at (0.250, 0.250, 0.250).

The calculation puts the formation enthalpy at 0 K at -0.26 eV per atom.

=====

Record 5
DFT (PBE-GGA) results for a relaxed Li5CuF6 crystal.

The space group is C2/m (No. 12) and the conventional cell measures 5.182, 8.848 and 5.160 Å, with angles of 90.00, 110.98 and 90.00 degrees. The distinct sites, in fractional coordinates, are Li at (0.000, 0.000, 0.000), Li at (0.000, 0.166, 0.500), Li at (0.000, 0.335, 0.000), Cu at (0.000, 0.500, 0.500), F at (0.232, 0.000, 0.772) and F at (0.238, 0.177, 0.246).

Its uncorrected formation energy is -2.559 eV per atom.

=====

Record 6
DFT (PBE-GGA) results for a relaxed K6Na crystal.

The space group is R-3m (No. 166, hexagonal axes) and the conventional cell measures 7.2006, 7.2006 and 30.9573 Å, with angles of 90.00, 90.00 and 120.00 degrees. The distinct sites, in fractional coordinates, are K at (0.0000, 0.0000, 0.0723), K at (0.0000, 0.0000, 0.2109), K at (0.0000, 0.0000, 0.3622) and Na at (0.0000, 0.0000, 0.5000).

The calculation puts the formation enthalpy at 0 K at 0.02 eV per atom. The value obtained for the energy above the most stable polymorph in this dataset is 0 meV per atom.

=====

Record 7
DFT (PBE-GGA) results for a relaxed PmGa2Si crystal.

The space group is P4/mmm (No. 123) and the conventional cell measures 4.270, 4.270 and 4.399 Å, with angles of 90.00, 90.00 and 90.00 degrees. The distinct sites, in fractional coordinates, are Pm at (0.000, 0.000, 0.000), Ga at (0.000, 0.500, 0.500) and Si at (0.500, 0.500, 0.000).

Its uncorrected formation energy is -0.419 eV per atom. The value obtained for the energy above the most stable polymorph in this dataset is 0 meV per atom.

=====

Record 8
DFT (PBE-GGA) results for a relaxed Rb2SnSO crystal.

The space group is P4/mmm (No. 123) and the conventional cell measures 6.858, 6.858 and 3.612 Å, with angles of 90.00, 90.00 and 90.00 degrees. The distinct sites, in fractional coordinates, are Rb at (0.000, 0.500, 0.000), Sn at (0.000, 0.000, 0.500), S at (0.500, 0.500, 0.000) and O at (0.500, 0.500, 0.500).

Its uncorrected formation energy is -0.182 eV per atom. The value obtained for the energy above the most stable polymorph in this dataset is 894 meV per atom.

=====

Record 9
DFT (PBE-GGA) results for a relaxed Tb5YHo3 crystal.

The space group is C2/c (No. 15) and the conventional cell measures 16.376, 8.657 and 11.077 Å, with angles of 90.00, 131.94 and 90.00 degrees. The distinct sites, in fractional coordinates, are Tb at (0.000, 0.181, 0.250), Tb at (0.097, 0.122, 0.611), Tb at (0.182, 0.219, 0.168), Y at (0.000, 0.252, 0.750), Ho at (0.000, 0.500, 0.000) and Ho at (0.219, 0.472, 0.470).

The calculation puts the formation enthalpy at 0 K at 0.23 eV per atom. The value obtained for the energy above the most stable polymorph in this dataset is 0 meV per atom.

=====

Record 10
DFT (PBE-GGA) results for a relaxed YMg2AsIr crystal.

The space group is P4/mmm (No. 123) and the conventional cell measures 4.942, 4.942 and 4.750 Å, with angles of 90.00, 90.00 and 90.00 degrees. The distinct sites, in fractional coordinates, are Y at (0.000, 0.000, 0.000), Mg at (0.000, 0.500, 0.500), As at (0.500, 0.500, 0.000) and Ir at (0.500, 0.500, 0.500).

The calculation puts the formation enthalpy at 0 K at -0.11 eV per atom.

=====

Record 11
DFT (PBE-GGA) results for a relaxed Cs6Te2S crystal.

The space group is P2_1/c (No. 14) and the conventional cell measures 7.652, 10.555 and 14.336 Å, with angles of 90.00, 119.89 and 90.00 degrees. The distinct sites, in fractional coordinates, are Cs at (0.080, 0.148, 0.436), Cs at (0.315, 0.703, 0.442), Cs at (0.325, 0.034, 0.243), Te at (0.208, 0.112, 0.771) and S at (0.500, 0.000, 0.500).

Its uncorrected formation energy is -0.959 eV per atom.

=====

Record 12
DFT (PBE-GGA) results for a relaxed TbY2ErSe6 crystal.

The space group is R3 (No. 146, hexagonal axes) and the conventional cell measures 7.2000, 7.2000 and 19.4470 Å, with angles of 90.00, 90.00 and 120.00 degrees. The distinct sites, in fractional coordinates, are Tb at (0.0000, 0.0000, 0.0000), Y at (0.0000, 0.0000, 0.3034), Y at (0.0000, 0.0000, 0.8040), Er at (0.0000, 0.0000, 0.4990), Se at (0.9999, 0.3034, 0.4024) and Se at (0.0285, 0.6704, 0.5684).

Its uncorrected formation energy is -1.858 eV per atom.

=====

The calculation returns the following M_tot values, one per record and in order: 0.01, 0.00, 0.00, 8.91, 0.07, 0.00, 0.00, 0.81, 0.00, 0.00, 0.00, 0.00 μB per formula unit.